Below is crystalline Zr2NbPRh at its relaxed geometry, with properties calculated at the PBE level.

extended XYZ file:
```
5
Lattice="5.143 0.000 0.000 0.000 4.551 0.000 0.000 0.000 5.143" Properties=species:S:1:pos:R:3 pbc="T T T"
P 2.571 2.276 2.571
Zr 2.571 0.000 0.000
Zr 0.000 0.000 2.571
Rh 0.000 2.276 0.000
Nb 0.000 0.000 0.000
```

## Properties
Space group = P4/mmm (123)
Calculated volume = 120.36 Å³ per cell
ΔH_f (0 K) = 0.9539 eV/atom
Spin magnetization = 0.0 μB/f.u.